First-principles (GGA-PBE) data for crystalline NpTl3Se4 at its relaxed geometry, as listed in Alexandria.

a b c (Å): 7.985 9.017 7.468
angles (deg): 90.00 109.27 90.00
Sites, in units of the cell vectors:
Np: 0.000 0.112 0.250
Np: 0.000 0.888 0.750
Tl: 0.000 0.389 0.750
Tl: 0.000 0.611 0.250
Tl: 0.500 0.122 0.750
Tl: 0.500 0.376 0.250
Tl: 0.500 0.624 0.750
Tl: 0.500 0.878 0.250
Se: 0.201 0.105 0.000
Se: 0.201 0.895 0.500
Se: 0.216 0.326 0.456
Se: 0.216 0.674 0.956
Se: 0.784 0.326 0.044
Se: 0.784 0.674 0.544
Se: 0.799 0.105 0.500
Se: 0.799 0.895 0.000

E above lowest polymorph	0.0	meV/atom
density of states at the Fermi level	12.7	states/eV per cell
DFT total energy	-4.91	eV/atom
raw formation energy	-658.8	meV per atom